(1)
CaEuIrAu (PBE, optimized geometry); DFT formation energy = -0.480 eV/atom
1.0
5.052 0.000 0.000
2.526 4.375 0.000
2.526 1.458 4.125
Eu Ca Ir Au
1 1 1 1
Direct
0.750 0.750 0.750 Eu
0.250 0.250 0.250 Ca
0.500 0.500 0.500 Ir
0.000 0.000 0.000 Au

(2)
LiCaEuAu (PBE, optimized geometry); DFT formation energy = -0.396 eV/atom
1.0
-4.984 -0.738 -1.662
-0.931 -1.552 -4.987
-1.776 -4.905 -0.964
Eu Ca Au Li
1 1 1 1
Direct
0.500 0.500 0.500 Eu
0.000 0.000 0.000 Ca
0.250 0.250 0.250 Au
0.750 0.750 0.750 Li

(3)
CaEuMgAu (PBE, optimized geometry); DFT formation energy = -0.383 eV/atom
1.0
-3.267 4.238 0.514
-3.192 0.426 4.303
1.007 3.732 3.735
Eu Ca Au Mg
1 1 1 1
Direct
0.750 0.750 0.750 Eu
0.250 0.250 0.250 Ca
0.000 0.000 0.000 Au
0.500 0.500 0.500 Mg

(4)
NaCaEuAu (PBE, optimized geometry); DFT formation energy = -0.306 eV/atom
1.0
-1.806 0.568 5.127
3.128 -1.587 4.191
2.255 3.733 3.294
Eu Na Ca Au
1 1 1 1
Direct
0.250 0.250 0.250 Eu
0.000 0.000 0.000 Na
0.750 0.750 0.750 Ca
0.500 0.500 0.500 Au

(5)
CaEuNiAu (PBE, optimized geometry); DFT formation energy = -0.368 eV/atom
1.0
5.087 0.000 0.000
2.543 4.405 0.000
2.543 1.468 4.153
Eu Ni Ca Au
1 1 1 1
Direct
0.250 0.250 0.250 Eu
0.000 0.000 0.000 Ni
0.750 0.750 0.750 Ca
0.500 0.500 0.500 Au

(6)
CaEuRhAu (PBE, optimized geometry); DFT formation energy = -0.539 eV/atom
1.0
-4.889 -0.870 1.025
-1.872 -4.698 -0.372
-1.298 -2.551 4.185
Eu Rh Ca Au
1 1 1 1
Direct
0.750 0.750 0.750 Eu
0.500 0.500 0.500 Rh
0.250 0.250 0.250 Ca
0.000 0.000 0.000 Au

What did we get for V? Answer: 91.2, 105.6, 109.8, 115.4, 93.1, 92.2 Å³/f.u., in the order shown.
What did we get for N(E_F)? Answer: 12.230, 9.598, 8.748, 9.621, 10.955, 13.108 states/eV/f.u., in the order shown.